Computed, not measured: LiFe2Br after structural relaxation at the PBEsol level of DFT.

formation energy (no corrections)	0.23	eV per atom
ΔE to the lowest computed polymorph	0	meV/atom

a b c (Å): 3.1612 3.1632 7.5535
angles (deg): 77.88 77.92 60.02
With the nearest neighbours (Å) after each atom.
Atoms (fractional coordinates):
Li (0.5038, 0.5027, 0.4897)  3 Br 2.55, 3 Fe 2.80
Br (0.2514, 0.2500, 0.2473)  3 Li 2.55, 3 Fe 2.66
Fe (0.0051, 0.0063, 0.9834)  3 Fe 2.36
Fe (0.7397, 0.7410, 0.7796)  3 Fe 2.36